# LaNiPd

A relaxed LaNiPd crystal (PBE, Alexandria).

a b c (Å): 4.2549 7.6427 7.8570
angles (deg): 90.00 90.00 90.00
Last column: nearest neighbours and their distance in Å.
Space group Immm (No. 71)
One atom of each set of equivalent atoms:
La  0.0000  0.0000  0.2489 (multiplicity 4)  6 Ni 3.11-3.32, 6 Pd 3.15-3.20
Ni  0.0000  0.3497  0.5000 (multiplicity 4)  1 Ni 2.30, 2 Pd 2.50
Pd  0.0000  0.3228  0.0000 (multiplicity 4)  2 Ni 2.50, 1 Pd 2.71

---

# LaNiPd

A relaxed LaNiPd crystal (PBE, Alexandria).

a b c (Å): 4.3218 4.3218 3.9482
angles (deg): 90.00 90.00 120.00
Last column: nearest neighbours and their distance in Å.
Space group P-6m2 (No. 187)
One atom of each set of equivalent atoms:
La  0.0000  0.0000  0.0000 (multiplicity 1)  6 Pd 3.18, 6 Ni 3.18
Ni  0.6667  0.3333  0.5000 (multiplicity 1)  3 Pd 2.50
Pd  0.3333  0.6667  0.5000 (multiplicity 1)  3 Ni 2.50

---

# La2Ni2Pd

A relaxed La2Ni2Pd crystal (PBE, Alexandria).

Offset from the most stable computed form (meV per atom): 102.1

a b c (Å): 5.3721 5.3721 7.6079
angles (deg): 90.00 90.00 90.00
Last column: nearest neighbours and their distance in Å.
Space group I4/mmm (No. 139)
One atom of each set of equivalent atoms:
La  0.0000  0.5000  0.2500 (multiplicity 4)  4 Ni 2.78
Ni  0.0000  0.0000  0.1538 (multiplicity 4)  1 Ni 2.34
Pd  0.0000  0.0000  0.5000 (multiplicity 2)  2 Ni 2.63

---

# La2Ni2Pd

A relaxed La2Ni2Pd crystal (PBE, Alexandria).

Offset from the most stable computed form (meV per atom): 0.0

a b c (Å): 7.3354 7.3354 3.8819
angles (deg): 90.00 90.00 90.00
Last column: nearest neighbours and their distance in Å.
Space group P4/mbm (No. 127)
One atom of each set of equivalent atoms:
La  0.1839  0.3161  0.0000 (multiplicity 4)  6 Ni 2.84-2.98
Ni  0.1169  0.6169  0.5000 (multiplicity 4)  1 Ni 2.43
Pd  0.0000  0.0000  0.5000 (multiplicity 2)  4 Ni 2.94

---

# La4Ni2Pd

A relaxed La4Ni2Pd crystal (PBE, Alexandria).

a b c (Å): 8.7057 14.2877 7.2454
angles (deg): 90.00 126.26 90.00
Last column: nearest neighbours and their distance in Å.
Space group Cc (No. 9)
One atom of each set of equivalent atoms:
La  0.0000  0.0234  0.0000 (multiplicity 4)  4 Ni 2.86-3.17, 1 Pd 2.99
La  0.2523  0.3107  0.6757 (multiplicity 4)  3 Ni 2.80-3.11, 1 Pd 2.88
La  0.4045  0.2322  0.2965 (multiplicity 4)  3 Ni 2.90-3.04, 1 Pd 3.13
La  0.4759  0.0343  0.6618 (multiplicity 4)  3 Ni 2.87-2.96, 1 Pd 3.08
Ni  0.1357  0.1535  0.3670 (multiplicity 4)  5 La 2.80-2.96, 1 Pd 2.96
Ni  0.2251  0.4110  0.0369 (multiplicity 4)  7 La 2.87-3.11
Pd  0.2403  0.1281  0.8340 (multiplicity 4)  4 La 2.88-3.13, 1 Ni 2.96

---

# La5Ni2Pd

A relaxed La5Ni2Pd crystal (PBE, Alexandria).

a b c (Å): 7.7477 7.7477 14.1607
angles (deg): 90.00 90.00 90.00
Last column: nearest neighbours and their distance in Å.
Space group I4/mcm (No. 140)
One atom of each set of equivalent atoms:
La  0.0000  0.0000  0.0000 (multiplicity 4)  4 Ni 3.06
La  0.1637  0.3363  0.1390 (multiplicity 16)  3 Ni 3.00-3.03, 2 Pd 3.30
Ni  0.1256  0.3744  0.5000 (multiplicity 8)  1 Ni 2.75, 8 La 3.00-3.06
Pd  0.0000  0.0000  0.2500 (multiplicity 4)  10 La 3.30-3.54

---

| no. | formation energy from the elements (eV/atom) | total energy (Ha/atom) | spin magnetization (Bohr magnetons per cell) |
| --- | --- | --- | --- |
| 1 | -0.5427 | -0.2147 | 0.00 |
| 2 | -0.5342 | -0.2144 | 0.00 |
| 3 | -0.3674 | -0.2091 | 0.00 |
| 4 | -0.4696 | -0.2128 | 0.00 |
| 5 | -0.3968 | -0.2060 | 0.00 |
| 6 | -0.3459 | -0.2029 | 0.00 |